First-principles (GGA-PBE) data for Er3Co4Ge13 after structural relaxation, as listed in the Open Quantum Materials Database.

Geometry as POSCAR:
```
Er3Co4Ge13
1.0
-0.7812 -0.4512 8.7124
1.4714 -8.6288 -0.3150
8.5991 1.4355 0.8454
Ge Er Co
26 6 8
Cartesian
7.7320 -1.4127 0.6201
4.9734 -6.5199 5.8581
1.9579 0.0551 7.6372
2.5001 0.3683 1.5902
0.7031 -7.6226 5.7915
2.3385 -5.7806 -0.0897
4.6446 -3.8223 4.6214
5.2123 -6.3819 3.1928
1.8000 -2.9397 4.4120
5.8600 0.9291 1.9205
5.3178 0.6160 7.9676
3.0913 -4.1793 7.1462
1.7636 -2.4091 0.0334
-0.3182 -1.6336 6.0101
-0.0129 -1.4573 2.6059
4.0769 -1.2627 6.0500
1.0083 -7.4463 2.3873
3.5673 -3.9044 1.8380
8.3069 -4.7842 0.4971
2.2501 -5.5794 4.3157
6.1980 -3.4652 2.0966
0.0000 0.0000 0.0000
5.7220 -3.7401 7.4048
7.0392 -2.0651 4.9271
7.4893 -4.7049 4.8307
4.3159 -1.1246 3.3847
1.7592 0.1332 4.5675
0.5404 -4.4272 2.0206
4.6674 -1.4395 0.3439
5.4031 -5.7538 0.1865
0.1498 -4.6528 6.3768
6.0587 0.8510 4.9902
6.9669 -5.7334 6.9321
2.3223 -1.9111 2.3107
1.9317 -2.1367 6.6669
6.6219 -1.1934 2.7334
6.2313 -1.4190 7.0896
7.3575 -5.5078 2.5759
3.0580 -6.2255 2.1532
2.6674 -6.4511 6.5094
```

## Properties
- VASP energy (eV per formula unit) = -110.3
- symmetry = No. 223

---

First-principles (GGA-PBE) data for ErCo2Ge2 after structural relaxation, as listed in the Open Quantum Materials Database.

Geometry as POSCAR:
```
ErCo2Ge2
1.0
0.0000 3.9475 0.0000
3.9475 0.0000 0.0000
-1.9738 -1.9738 -5.0256
Ge Co Er
2 2 1
Cartesian
1.9738 1.9738 -1.2791
0.0000 0.0000 -3.7464
1.9738 0.0000 -2.5128
0.0000 1.9738 -2.5128
0.0000 0.0000 0.0000
```

## Properties
- VASP energy (eV per formula unit) = -31.0
- symmetry = No. 139

---

First-principles (GGA-PBE) data for Er3CoGe3 after structural relaxation, as listed in the Open Quantum Materials Database.

Geometry as POSCAR:
```
Er3CoGe3
1.0
5.2755 -2.0924 0.0000
5.2755 2.0924 0.0000
-4.8040 0.0000 12.7757
Co Ge Er
2 6 6
Cartesian
5.1472 0.0000 7.4758
0.5997 0.0000 5.2998
0.9736 0.0000 0.9702
6.8931 0.0000 5.7858
4.7733 0.0000 11.8055
-1.1462 0.0000 6.9899
6.4314 0.0000 9.6696
-0.6845 0.0000 3.1061
1.8853 0.0000 11.7394
6.7558 0.0000 2.9303
3.7299 0.0000 4.8794
2.0170 0.0000 7.8963
-1.0089 0.0000 9.8454
3.8616 0.0000 1.0363
```

## Properties
- VASP energy (eV per formula unit) = -40.2
- symmetry = No. 12

---

First-principles (GGA-PBE) data for HoErCo2Ge4 after structural relaxation, as listed in the Open Quantum Materials Database.

Geometry as POSCAR:
```
HoErCo2Ge4
1.0
-3.8330 1.2814 0.8717
0.8459 -2.8955 7.9758
2.1919 0.9913 8.1808
Co Ge Ho Er
2 4 1 1
Cartesian
2.4893 -1.5604 13.2399
-1.3681 0.2969 3.3527
-1.7804 0.5554 1.1598
0.3639 -0.7887 12.5643
2.9015 -1.8188 15.4321
0.7577 -0.4750 4.0298
-0.7301 -0.1029 6.7456
1.8512 -1.1604 9.8456
```

## Properties
- VASP energy (eV per formula unit) = -46.8
- symmetry = No. 38